## Ga3Sn12Au5 (PBE-GGA)

Data for an optimized crystal structure of Ga3Sn12Au5.

Output
Raw total energy   -293.18 eV per cell
Energy of formation from the pure elements   0.01 eV/atom

Cell lengths 14.271, 14.271, 14.271 Å; angles 109.47, 109.47, 109.47 degrees
Fractional positions:
Ga: 0.125 0.250 0.375
Ga: 0.125 0.375 0.750
Ga: 0.250 0.375 0.125
Ga: 0.250 0.875 0.625
Ga: 0.375 0.125 0.250
Ga: 0.375 0.750 0.125
Ga: 0.625 0.250 0.875
Ga: 0.625 0.875 0.750
Ga: 0.750 0.125 0.375
Ga: 0.750 0.625 0.875
Ga: 0.875 0.625 0.250
Ga: 0.875 0.750 0.625
Sn: 0.056 0.228 0.125
Sn: 0.056 0.327 0.930
Sn: 0.070 0.625 0.397
Sn: 0.070 0.944 0.673
Sn: 0.103 0.728 0.673
Sn: 0.103 0.875 0.430
Sn: 0.125 0.056 0.228
Sn: 0.125 0.570 0.897
Sn: 0.173 0.228 0.603
Sn: 0.173 0.444 0.570
Sn: 0.228 0.125 0.056
Sn: 0.228 0.603 0.173
Sn: 0.272 0.327 0.897
Sn: 0.272 0.444 0.375
Sn: 0.327 0.897 0.272
Sn: 0.327 0.930 0.056
Sn: 0.375 0.272 0.444
Sn: 0.375 0.603 0.930
Sn: 0.397 0.070 0.625
Sn: 0.397 0.827 0.772
Sn: 0.430 0.103 0.875
Sn: 0.430 0.827 0.556
Sn: 0.444 0.375 0.272
Sn: 0.444 0.570 0.173
Sn: 0.556 0.430 0.827
Sn: 0.556 0.625 0.728
Sn: 0.570 0.173 0.444
Sn: 0.570 0.897 0.125
Sn: 0.603 0.173 0.228
Sn: 0.603 0.930 0.375
Sn: 0.625 0.397 0.070
Sn: 0.625 0.728 0.556
Sn: 0.673 0.070 0.944
Sn: 0.673 0.103 0.728
Sn: 0.728 0.556 0.625
Sn: 0.728 0.673 0.103
Sn: 0.772 0.397 0.827
Sn: 0.772 0.875 0.944
Sn: 0.827 0.556 0.430
Sn: 0.827 0.772 0.397
Sn: 0.875 0.430 0.103
Sn: 0.875 0.944 0.772
Sn: 0.897 0.125 0.570
Sn: 0.897 0.272 0.327
Sn: 0.930 0.056 0.327
Sn: 0.930 0.375 0.603
Sn: 0.944 0.673 0.070
Sn: 0.944 0.772 0.875
Au: 0.000 0.000 0.000
Au: 0.000 0.000 0.500
Au: 0.000 0.500 0.000
Au: 0.000 0.500 0.500
Au: 0.125 0.750 0.875
Au: 0.125 0.875 0.250
Au: 0.250 0.125 0.875
Au: 0.250 0.625 0.375
Au: 0.375 0.250 0.625
Au: 0.375 0.625 0.750
Au: 0.500 0.000 0.000
Au: 0.500 0.000 0.500
Au: 0.500 0.500 0.000
Au: 0.500 0.500 0.500
Au: 0.625 0.375 0.250
Au: 0.625 0.750 0.375
Au: 0.750 0.375 0.625
Au: 0.750 0.875 0.125
Au: 0.875 0.125 0.750
Au: 0.875 0.250 0.125

---

## CsScTl2I6 (PBE-GGA)

Data for an optimized crystal structure of CsScTl2I6.

Output
Energy relative to the elements, uncorrected   -1.056 eV/atom
Raw total energy   -31.78 eV per cell

Cell lengths 8.652, 8.661, 9.129 Å; angles 90.04, 118.28, 119.96 degrees
Fractional positions:
Cs: 0.000 0.000 0.000
Sc: 0.973 0.487 0.458
Tl: 0.584 0.292 0.875
Tl: 0.620 0.811 0.429
I: 0.097 0.435 0.223
I: 0.106 0.275 0.671
I: 0.396 0.832 0.671
I: 0.561 0.127 0.223
I: 0.789 0.662 0.223
I: 0.839 0.565 0.670

---

## Ti2GaW (PBE-GGA)

Data for an optimized crystal structure of Ti2GaW.

Output
Raw total energy   -33.06 eV per cell
Energy of formation from the pure elements   -0.32 eV/atom

Cell lengths 3.259, 3.259, 6.029 Å; angles 90.00, 90.00, 90.00 degrees
Fractional positions:
Ti: 0.000 0.000 0.243
Ti: 0.000 0.000 0.757
Ga: 0.500 0.500 0.500
W: 0.500 0.500 0.000

---

## LaSc2Tl2Ag2 (PBE-GGA)

Data for an optimized crystal structure of LaSc2Tl2Ag2.

Output
Raw total energy   -29.65 eV per cell
Energy of formation from the pure elements   -0.23 eV/atom

Cell lengths 9.096, 9.096, 9.096 Å; angles 30.59, 30.59, 30.59 degrees
Fractional positions:
La: 0.000 0.000 0.000
Sc: 0.137 0.137 0.137
Sc: 0.863 0.863 0.863
Tl: 0.259 0.259 0.259
Tl: 0.741 0.741 0.741
Ag: 0.443 0.443 0.443
Ag: 0.557 0.557 0.557

---

## BaAsPb (PBE-GGA)

Data for an optimized crystal structure of BaAsPb.

Output
Excess energy over the best structure of this formula in the dataset   0.252 eV/atom
Raw total energy   -11.64 eV per cell
Energy of formation from the pure elements   -0.45 eV/atom

Cell lengths 6.653, 6.568, 4.031 Å; angles 73.40, 71.10, 35.50 degrees
Fractional positions:
Ba: 0.000 0.000 0.000
As: 0.691 0.691 0.309
Pb: 0.287 0.287 0.713

---

## PuNpN2 (PBE-GGA)

Data for an optimized crystal structure of PuNpN2.

Output
Energy relative to the elements, uncorrected   -0.483 eV/atom
Raw total energy   -45.86 eV per cell

Cell lengths 2.988, 2.988, 6.009 Å; angles 90.00, 90.00, 90.00 degrees
Fractional positions:
Pu: 0.000 0.000 0.000
Np: 0.000 0.000 0.500
N: 0.500 0.500 0.256
N: 0.500 0.500 0.744

---

## SmMg2Cd (PBE-GGA)

Data for an optimized crystal structure of SmMg2Cd.

Output
Excess energy over the best structure of this formula in the dataset   0.056 eV/atom
Raw total energy   -9.49 eV per cell
Energy of formation from the pure elements   -0.17 eV/atom

Cell lengths 4.586, 4.586, 4.863 Å; angles 90.00, 90.00, 90.00 degrees
Fractional positions:
Sm: 0.000 0.000 0.000
Mg: 0.000 0.500 0.500
Mg: 0.500 0.000 0.500
Cd: 0.500 0.500 0.000

---

## MgIrRu2 (PBE-GGA)

Data for an optimized crystal structure of MgIrRu2.

Output
Raw total energy   -28.80 eV per cell
Energy of formation from the pure elements   0.05 eV/atom

Cell lengths 4.837, 4.837, 4.837 Å; angles 133.65, 133.65, 67.64 degrees
Fractional positions:
Mg: 0.000 0.000 0.000
Ir: 0.500 0.500 0.000
Ru: 0.250 0.750 0.500
Ru: 0.750 0.250 0.500